An optimized crystal structure of Mn2NiO3. Source: Alexandria, functional PBE with a Hubbard U.

**Space-group type**: No. 71
**Total magnetization**: 2.000 μB/atom
**Energy relative to the lowest polymorph listed for this composition**: 4 meV/atom
**Raw total energy**: -40.86 eV per formula unit

Lattice parameters (Å, degrees): 5.4071 5.4071 5.4071 146.40 131.69 60.13
With the nearest neighbours (Å) after each atom.
Fractional positions:
Mn 0.1655 0.1655 0.0000  6 O 2.20-2.28
Mn 0.8345 0.8345 0.0000  6 O 2.20-2.28
Ni 0.5000 0.5000 0.0000  6 O 2.15-2.21
O 0.0000 0.5000 0.5000  4 Mn 2.20, 2 Ni 2.21
O 0.3423 0.8423 0.5000  2 Ni 2.15, 4 Mn 2.21-2.28
O 0.6577 0.1577 0.5000  2 Ni 2.15, 4 Mn 2.21-2.28